The following is a PBE-GGA calculation of a geometry-optimized Hg3AsC structure, from the Alexandria database.

The space group is Pm-3m (No. 221) and the conventional cell measures 5.414, 5.414 and 5.414 Å, with angles of 90.00, 90.00 and 90.00 degrees. The inequivalent atoms are Hg at (0.000, 0.000, 0.500), As at (0.000, 0.000, 0.000) and C at (0.500, 0.500, 0.500).

The value obtained for the energy is -7.34 eV/cell. The value obtained for the energy above the lowest structure with this stoichiometry is 343 meV/atom. Its crystal system is cubic. For the formation enthalpy at 0 K, the calculation gives 1.49 eV/atom.